Record 1
CrFeCBr2 PBEsol optimized geometry; spin magnetization = 5.8 μB/f.u.; calculated total energy = -4.448 eV/atom; Fermi-level density of states = 1.55 states/eV per atom; formation energy from raw total energies = 2070 meV per atom
1.0
-1.634 -0.660 4.032
3.998 -2.199 1.260
1.826 4.131 1.416
Cr C Fe Br
1 1 1 2
direct
0.000 0.000 0.000 Cr
0.500 0.500 0.500 C
0.500 0.000 0.000 Fe
0.000 0.000 0.500 Br
0.000 0.500 0.000 Br

Record 2
Cu3CBr PBEsol optimized geometry; spin magnetization = 0.0 μB/f.u.; calculated total energy = -4.268 eV/atom; Fermi-level density of states = 0.75 states/eV per atom; formation energy from raw total energies = 635 meV per atom
1.0
4.000 0.000 0.000
0.000 4.000 0.000
0.000 0.000 4.000
C Cu Br
1 3 1
direct
0.000 0.000 0.000 C
0.000 0.500 0.000 Cu
0.000 0.000 0.500 Cu
0.500 0.000 0.000 Cu
0.500 0.500 0.500 Br

Record 3
Cu2HCBr PBEsol optimized geometry; spin magnetization = 0.0 μB/f.u.; calculated total energy = -2.852 eV/atom; Fermi-level density of states = 0.65 states/eV per atom
1.0
-0.767 3.031 -0.208
-3.178 -1.020 -3.135
-3.101 -0.556 3.324
H C Cu Br
1 1 2 1
direct
0.500 0.000 0.000 H
0.500 0.500 0.500 C
0.000 0.000 0.500 Cu
0.000 0.500 0.000 Cu
0.000 0.000 0.000 Br